Material: BeAlPt3
Method: DFT, PBE
State: optimized geometry

Cell lengths 4.2176, 4.2176, 4.2176 Å; angles 90.00, 90.00, 90.00 degrees
Closest atoms and distances in Å follow each position.
Element x y z (fractional)
1 Pt 0.0000 0.5000 0.0000  2 Be 2.11
2 Pt 0.5000 0.0000 0.0000  2 Be 2.11
3 Pt 0.0000 0.0000 0.5000  2 Be 2.11
4 Be 0.0000 0.0000 0.0000  6 Pt 2.11
5 Al 0.5000 0.5000 0.5000  12 Pt 2.98

Values from the calculation:
Calculated total energy = -26.99 eV per cell
Space-group type = Pm-3m
DFT formation energy = -278.9 meV per atom
DOS at the Fermi energy = 3.1 states/eV/cell